1 | A geometry-optimized TiPbCl2 structure. Source: the Alexandria database, functional PBE.

Cell lengths 3.4183, 3.4183, 29.4098 Å; angles 90.00, 90.00, 120.00 degrees
With the nearest neighbours (Å) after each atom.
Space group R-3m (No. 166, hexagonal axes)
Asymmetric unit:
Ti  0.0000  0.0000  0.0000  2 Cl 2.28
Pb  0.0000  0.0000  0.5000  6 Cl 3.28, 6 Pb 3.42
Cl  0.0000  0.0000  0.0775  1 Ti 2.28

Output
DOS(E_F): 0.925 states/eV per atom
calculated volume: 297.61 Å³/cell

2 | A geometry-optimized TiPbCl2 structure. Source: the Alexandria database, functional PBE.

Cell lengths 6.7074, 6.7074, 11.0232 Å; angles 90.00, 90.00, 90.00 degrees
With the nearest neighbours (Å) after each atom.
Space group I-42d (No. 122)
Asymmetric unit:
Ti  0.0000  0.0000  0.0000  4 Cl 2.36
Pb  0.0000  0.0000  0.5000  4 Cl 3.25
Cl  0.1392  0.2500  0.1250  2 Ti 2.36

Output
DOS(E_F): 0.460 states/eV per atom
calculated volume: 495.93 Å³/cell

3 | A geometry-optimized TiPbCl2 structure. Source: the Alexandria database, functional PBE.

Cell lengths 3.2949, 3.2949, 31.8261 Å; angles 90.00, 90.00, 120.00 degrees
With the nearest neighbours (Å) after each atom.
Space group R-3m (No. 166, hexagonal axes)
Asymmetric unit:
Ti  0.0000  0.0000  0.0000  6 Cl 2.48
Pb  0.0000  0.0000  0.5000  6 Pb 3.29
Cl  0.0000  0.0000  0.3835  3 Ti 2.48

Output
DOS(E_F): 0.695 states/eV per atom
calculated volume: 299.23 Å³/cell

Energy ordering: 3 at the bottom, the next structure 402 meV per atom above.

1 | A geometry-optimized Ti3PbCl structure. Source: the Alexandria database, functional PBE.

Cell lengths 4.5445, 4.5445, 4.5445 Å; angles 90.00, 90.00, 90.00 degrees
With the nearest neighbours (Å) after each atom.
Space group Pm-3m (No. 221)
Asymmetric unit:
Ti  0.0000  0.0000  0.5000  2 Cl 2.27
Pb  0.5000  0.5000  0.5000  12 Ti 3.21
Cl  0.0000  0.0000  0.0000  6 Ti 2.27

Output
DOS(E_F): 1.228 states/eV per atom
calculated volume: 93.86 Å³/cell

2 | A geometry-optimized Ti3PbCl structure. Source: the Alexandria database, functional PBE.

Cell lengths 5.3570, 5.3570, 5.3570 Å; angles 90.00, 90.00, 90.00 degrees
With the nearest neighbours (Å) after each atom.
Space group Pm-3m (No. 221)
Asymmetric unit:
Ti  0.0000  0.0000  0.5000  2 Pb 2.68
Pb  0.0000  0.0000  0.0000  6 Ti 2.68
Cl  0.5000  0.5000  0.5000  12 Ti 3.79

Output
DOS(E_F): 1.236 states/eV per atom
calculated volume: 153.73 Å³/cell

Energy ordering: 1 at the bottom, the next structure 1054 meV per atom above.